VASP calculation (GGA-PBE) on a relaxed HgOsPb crystal.

Unit cell a=3.0839 b=3.0839 c=8.1681 alpha=90.00 beta=90.00 gamma=120.00
Space group P3m1 (No. 156)
Asymmetric unit:
1 Hg 0.0000 0.0000 0.0000 x1
2 Os 0.6667 0.3333 0.2884 x1
3 Pb 0.3333 0.6667 0.5669 x1

Results
E above lowest polymorph: 39 meV/atom
Energy of formation from the pure elements: 2.597 eV/f.u.
V: 22.425 Å³/atom